# YZrSb2Ir | Alexandria via LeMat-Bulk | PBE | relaxed
data_YZrSb2Ir
_symmetry_space_group_name_H-M 'P 4/m m m'
_symmetry_Int_Tables_number 123
_symmetry_space_group_name_Hall '-P 4 2'
_cell_length_a 5.3394
_cell_length_b 5.3394
_cell_length_c 5.3182
_cell_angle_alpha 90.00
_cell_angle_beta 90.00
_cell_angle_gamma 90.00
loop_
_atom_site_label
_atom_site_fract_x
_atom_site_fract_y
_atom_site_fract_z
Y1 0.0000 0.0000 0.0000
Zr1 0.0000 0.0000 0.5000
Sb1 0.0000 0.5000 0.5000
Ir1 0.5000 0.5000 0.0000
# - distance to the lowest polymorph of the same formula (meV per atom) = 931
# - V (Å³/cell) = 151.6